No. 1
! PBEsol LiFe2W, relaxed; values from VASP
! * raw total energy: -8.17 eV per atom
! * formation energy: 0.252 eV/atom
! * total magnetic moment: 0.01 μB/f.u.
&SYSTEM
  ibrav = 0, nat = 4, ntyp = 3
/
ATOMIC_SPECIES
Li 6.94 Li.upf
Fe 55.84 Fe.upf
W 183.84 W.upf
CELL_PARAMETERS angstrom
2.9279 0.0000 0.0000
0.0000 2.9279 0.0000
0.0000 0.0000 5.4130
ATOMIC_POSITIONS angstrom
Li 0.0000 0.0000 0.0000
Fe 1.4640 1.4640 1.3101
Fe 1.4640 1.4640 4.1028
W 0.0000 0.0000 2.7065

---

No. 2
! PBEsol LaCoP2, relaxed; values from VASP
! * raw total energy: -6.67 eV per atom
! * formation energy: -0.507 eV/atom
! * total magnetic moment: 0.95 μB/f.u.
&SYSTEM
  ibrav = 0, nat = 4, ntyp = 3
/
ATOMIC_SPECIES
La 138.91 La.upf
Co 58.93 Co.upf
P 30.97 P.upf
CELL_PARAMETERS angstrom
1.9445 -2.8770 0.0000
1.9445 2.8770 0.0000
0.0000 0.0000 6.4225
ATOMIC_POSITIONS angstrom
La 0.0000 0.0000 0.0000
Co 0.0000 0.0000 3.2113
P 1.9445 0.0000 2.0679
P 1.9445 0.0000 4.3546

---

No. 3
! PBEsol RbSr2Mn, relaxed; values from VASP
! * raw total energy: -2.93 eV per atom
! * formation energy: 0.685 eV/atom
! * total magnetic moment: 4.22 μB/f.u.
&SYSTEM
  ibrav = 0, nat = 4, ntyp = 3
/
ATOMIC_SPECIES
Rb 85.47 Rb.upf
Sr 87.62 Sr.upf
Mn 54.94 Mn.upf
CELL_PARAMETERS angstrom
0.0000 4.3112 4.3112
4.3112 0.0000 4.3112
4.3112 4.3112 0.0000
ATOMIC_POSITIONS angstrom
Rb 0.0000 0.0000 0.0000
Sr 2.1556 2.1556 2.1556
Sr 6.4667 6.4667 6.4667
Mn 4.3112 4.3112 4.3112

---

No. 4
! PBEsol K2SbP, relaxed; values from VASP
! * formation energy (no corrections): -79 meV/atom
! * raw total energy: -3.23 eV per atom
! * total magnetic moment: 0.00 μB/f.u.
&SYSTEM
  ibrav = 0, nat = 4, ntyp = 3
/
ATOMIC_SPECIES
K 39.10 K.upf
Sb 121.76 Sb.upf
P 30.97 P.upf
CELL_PARAMETERS angstrom
3.1571 0.0000 0.0000
0.0000 5.1883 0.0000
0.0000 0.0000 6.2510
ATOMIC_POSITIONS angstrom
K 0.0000 0.0000 1.4732
K 0.0000 0.0000 4.7778
Sb 1.5786 2.5941 3.1255
P 1.5786 2.5941 0.0000

---

No. 5
! PBEsol TlP2Se, relaxed; values from VASP
! * formation energy (no corrections): 151 meV/atom
! * raw total energy: -4.36 eV per atom
! * total magnetic moment: 0.00 μB/f.u.
&SYSTEM
  ibrav = 0, nat = 4, ntyp = 3
/
ATOMIC_SPECIES
Tl 204.38 Tl.upf
P 30.97 P.upf
Se 78.96 Se.upf
CELL_PARAMETERS angstrom
4.9363 -1.6510 0.0000
4.9363 1.6510 0.0000
-2.5381 0.0000 5.3718
ATOMIC_POSITIONS angstrom
Tl 0.0000 0.0000 0.0000
P 3.2920 0.0000 2.2052
P 6.6942 0.0000 2.1531
Se 0.0652 0.0000 3.3371

---

No. 6
! PBEsol In2GaSiCl, relaxed; values from VASP
! * formation energy (no corrections): 274 meV/atom
! * raw total energy: -3.14 eV per atom
! * total magnetic moment: 0.00 μB/f.u.
&SYSTEM
  ibrav = 0, nat = 5, ntyp = 4
/
ATOMIC_SPECIES
In 114.82 In.upf
Ga 69.72 Ga.upf
Si 28.09 Si.upf
Cl 35.45 Cl.upf
CELL_PARAMETERS angstrom
5.4453 0.0000 0.0000
0.0000 5.4453 0.0000
0.0000 0.0000 4.5775
ATOMIC_POSITIONS angstrom
In 0.0000 2.7227 0.0000
In 2.7227 0.0000 0.0000
Ga 0.0000 0.0000 0.0000
Si 0.0000 0.0000 2.2888
Cl 2.7227 2.7227 2.2888

---

No. 7
! PBEsol Li2LaIn2, relaxed; values from VASP
! * raw total energy: -3.41 eV per atom
! * formation energy: -0.356 eV/atom
! * total magnetic moment: 0.00 μB/f.u.
&SYSTEM
  ibrav = 0, nat = 10, ntyp = 3
/
ATOMIC_SPECIES
Li 6.94 Li.upf
La 138.91 La.upf
In 114.82 In.upf
CELL_PARAMETERS angstrom
8.4982 0.0000 0.0000
0.0000 8.4982 0.0000
0.0000 0.0000 3.0700
ATOMIC_POSITIONS angstrom
Li 0.9927 3.2564 0.0000
Li 3.2564 7.5055 0.0000
Li 5.2418 0.9927 0.0000
Li 7.5055 5.2418 0.0000
La 0.0000 0.0000 0.0000
La 4.2491 4.2491 0.0000
In 1.4996 5.7487 1.5350
In 2.7495 1.4996 1.5350
In 5.7487 6.9986 1.5350
In 6.9986 2.7495 1.5350

---

No. 8
! PBEsol TiBr4, relaxed; values from VASP
! * formation energy (no corrections): -1129 meV/atom
! * raw total energy: -4.29 eV per atom
! * total magnetic moment: 0.00 μB/f.u.
&SYSTEM
  ibrav = 0, nat = 20, ntyp = 2
/
ATOMIC_SPECIES
Ti 47.87 Ti.upf
Br 79.90 Br.upf
CELL_PARAMETERS angstrom
10.3089 0.0000 0.0000
0.0000 6.8861 0.0000
-2.1738 0.0000 10.0820
ATOMIC_POSITIONS angstrom
Ti 2.2879 0.5391 1.3370
Ti 1.2010 2.9039 6.3780
Ti 6.9341 3.9822 3.7040
Ti 5.8472 6.3470 8.7450
Br -0.7261 4.0148 7.0266
Br 0.3608 6.3144 1.9856
Br 0.6961 0.7178 5.7991
Br 1.7830 2.7252 0.7581
Br 2.1674 3.9926 4.5774
Br 1.0805 6.3366 9.6184
Br 3.7799 0.5399 3.1061
Br 2.6930 2.9031 8.1471
Br 5.4422 3.9830 1.9349
Br 4.3553 6.3462 6.9759
Br 7.0546 0.5495 0.4636
Br 5.9677 2.8936 5.5046
Br 6.3521 4.1609 9.3240
Br 7.4390 6.1683 4.2829
Br 7.7744 0.5717 8.0965
Br 8.8613 2.8713 3.0554

---

No. 9
! PBEsol AgSbTe3, relaxed; values from VASP
! * formation energy (no corrections): 512 meV/atom
! * raw total energy: -3.18 eV per atom
! * total magnetic moment: 0.00 μB/f.u.
&SYSTEM
  ibrav = 0, nat = 5, ntyp = 3
/
ATOMIC_SPECIES
Ag 107.87 Ag.upf
Sb 121.76 Sb.upf
Te 127.60 Te.upf
CELL_PARAMETERS angstrom
5.2907 0.0000 0.0000
0.0000 5.2907 0.0000
0.0000 0.0000 5.2907
ATOMIC_POSITIONS angstrom
Ag 0.0000 0.0000 0.0000
Sb 2.6454 2.6454 2.6454
Te 0.0000 0.0000 2.6454
Te 0.0000 2.6454 0.0000
Te 2.6454 0.0000 0.0000

---

No. 10
! PBEsol ZnPbN2, relaxed; values from VASP
! * formation energy (no corrections): 588 meV/atom
! * raw total energy: -5.07 eV per atom
! * total magnetic moment: 0.00 μB/f.u.
&SYSTEM
  ibrav = 0, nat = 4, ntyp = 3
/
ATOMIC_SPECIES
Zn 65.41 Zn.upf
Pb 207.20 Pb.upf
N 14.01 N.upf
CELL_PARAMETERS angstrom
1.7440 1.0069 5.9005
-1.7440 1.0069 5.9005
0.0000 -2.0138 5.9005
ATOMIC_POSITIONS angstrom
Zn 0.0000 0.0000 0.0000
Pb 0.0000 0.0000 8.8508
N 0.0000 0.0000 1.8143
N 0.0000 0.0000 15.8872

---

No. 11
! PBEsol MgSn3Hg, relaxed; values from VASP
! * raw total energy: -2.55 eV per atom
! * formation energy: 0.466 eV/atom
! * total magnetic moment: 0.00 μB/f.u.
&SYSTEM
  ibrav = 0, nat = 5, ntyp = 3
/
ATOMIC_SPECIES
Mg 24.30 Mg.upf
Sn 118.71 Sn.upf
Hg 200.59 Hg.upf
CELL_PARAMETERS angstrom
5.3381 0.0000 0.0000
0.0000 5.3381 0.0000
0.0000 0.0000 5.3381
ATOMIC_POSITIONS angstrom
Mg 0.0000 0.0000 0.0000
Sn 0.0000 0.0000 2.6691
Sn 0.0000 2.6691 0.0000
Sn 2.6691 0.0000 0.0000
Hg 2.6691 2.6691 2.6691

---

No. 12
! PBEsol InSb3F18, relaxed; values from VASP
! * formation energy (no corrections): -2298 meV/atom
! * raw total energy: -4.63 eV per atom
! * total magnetic moment: 0.24 μB/f.u.
&SYSTEM
  ibrav = 0, nat = 44, ntyp = 3
/
ATOMIC_SPECIES
In 114.82 In.upf
Sb 121.76 Sb.upf
F 19.00 F.upf
CELL_PARAMETERS angstrom
8.7756 0.0000 0.0000
-4.3878 7.5999 0.0000
0.0000 0.0000 9.5623
ATOMIC_POSITIONS angstrom
In 0.0000 0.0000 0.0000
In 0.0000 0.0000 4.7811
Sb -1.5321 2.6537 2.3906
Sb -2.8557 4.9462 7.1717
Sb 3.0642 0.0000 2.3906
Sb 1.5321 2.6537 7.1717
Sb 5.7114 0.0000 7.1717
Sb 2.8557 4.9462 2.3906
F -0.1635 1.6696 3.5256
F -3.0236 6.6234 8.3067
F -1.4577 4.0829 3.5906
F -1.5808 4.2961 8.3717
F 0.1635 1.6696 8.3067
F -2.8601 6.9067 3.5256
F -0.0469 3.2087 1.3862
F -1.6324 5.9549 6.1673
F 0.0469 3.2087 6.1673
F -1.5855 6.0361 1.3862
F 1.5277 0.6932 1.2555
F 1.3642 0.9764 6.0367
F 2.8023 1.5637 3.3949
F 2.7554 1.6450 8.1761
F 1.4576 4.0829 8.3717
F -0.1231 6.8208 3.5906
F 1.5808 4.2961 3.5906
F 0.1231 6.8208 8.3717
F 4.2647 0.7791 1.1906
F 2.8070 3.3038 5.9717
F 4.5109 0.7791 5.9717
F 2.9301 3.5170 1.1906
F 1.6324 5.9549 1.3862
F 1.5855 6.0361 6.1673
F 3.0236 6.6234 3.5256
F 2.8601 6.9067 8.3067
F 5.9733 1.5637 8.1761
F 4.3409 4.3911 3.3949
F 6.0202 1.6450 3.3949
F 4.4347 4.3911 8.1761
F 7.2479 0.6932 6.0367
F 4.2242 5.9302 1.2555
F 5.9685 3.3038 1.1906
F 5.8454 3.5170 5.9717
F 7.4114 0.9764 1.2555
F 4.5513 5.9302 6.0367